Model a:
The following is a PBE calculation of a relaxed structure of Er2InSb, from the Alexandria database.

Output
Crystal system: orthorhombic
Total moment (μB per atom): 0.000

abc: 4.4739 23.6666 4.3153
angles: 90.00 90.00 90.00
Last column: nearest neighbours and their distance in Å.
Space group Cmcm (No. 63)
Inequivalent atoms, fractional coordinates:
Er 0.0000 0.0629 0.2500 x4  1 Sb 2.98, 4 In 3.14
Er 0.0000 0.3177 0.2500 x4  5 Sb 3.05-3.11, 1 In 3.30
In 0.0000 0.4572 0.2500 x4  2 In 2.96, 5 Er 3.14-3.30
Sb 0.0000 0.1888 0.2500 x4  6 Er 2.98-3.11

Model b:
The following is a PBE calculation of a relaxed structure of Er2InSb, from the Alexandria database.

Output
Crystal system: trigonal
Total moment (μB per atom): 0.000

abc: 4.1132 4.1132 24.1210
angles: 90.00 90.00 120.00
Last column: nearest neighbours and their distance in Å.
Space group R-3m (No. 166, hexagonal axes)
Inequivalent atoms, fractional coordinates:
Er 0.0000 0.0000 0.2433 x6  3 Sb 3.01, 3 In 3.22
In 0.0000 0.0000 0.0000 x3  6 Er 3.22
Sb 0.0000 0.0000 0.5000 x3  6 Er 3.01

Model c:
The following is a PBE calculation of a relaxed structure of Er2InSb, from the Alexandria database.

Output
Crystal system: tetragonal
Total moment (μB per atom): 0.000

abc: 3.9271 3.9271 6.8201
angles: 90.00 90.00 90.00
Last column: nearest neighbours and their distance in Å.
Space group P4/mmm (No. 123)
Inequivalent atoms, fractional coordinates:
Er 0.0000 0.0000 0.2422 x2  4 Sb 3.23, 4 In 3.29, 2 Er 3.30-3.52
In 0.5000 0.5000 0.5000 x1  8 Er 3.29, 2 Sb 3.41
Sb 0.5000 0.5000 0.0000 x1  8 Er 3.23, 2 In 3.41

Which one sits at the top of the stability order? model a does.

Model a:
The following is a PBE calculation of a relaxed structure of Er2Sc4In, from the Alexandria database.

Output
Crystal system: orthorhombic
Total moment (μB per atom): 0.118

abc: 5.9164 12.8566 5.3401
angles: 90.00 90.00 90.00
Last column: nearest neighbours and their distance in Å.
Space group Cmmm (No. 65)
Inequivalent atoms, fractional coordinates:
Er 0.0000 0.1267 0.0000 x4  5 Sc 2.96-3.20, 1 Er 3.26
Sc 0.0000 0.2637 0.5000 x4  4 Sc 2.98-3.01, 1 In 3.04, 2 Er 3.20
Sc 0.0000 0.3725 0.0000 x4  3 Er 2.96-3.16, 3 Sc 3.01-3.28, 2 In 3.13
In 0.0000 0.5000 0.5000 x2  6 Sc 3.04-3.13

Model b:
The following is a PBE calculation of a relaxed structure of Er2Sc4In, from the Alexandria database.

Output
Crystal system: monoclinic
Total moment (μB per atom): 0.000

abc: 5.8973 11.3652 6.0796
angles: 90.00 115.71 90.00
Last column: nearest neighbours and their distance in Å.
Space group P2_1/c (No. 14)
Inequivalent atoms, fractional coordinates:
Er 0.2037 0.0543 0.3918 x4  5 Sc 3.11-3.41, 2 Er 3.39-3.43, 1 In 3.39
Sc 0.0933 0.1774 0.8480 x4  1 In 2.96, 3 Sc 3.02-3.22, 2 Er 3.11-3.15
Sc 0.4042 0.7346 0.1853 x4  6 Sc 3.02-3.36, 2 In 3.19-3.35, 1 Er 3.27
In 0.5000 0.0000 0.0000 x2  4 Sc 2.96-3.19

Which one sits at the top of the stability order? model b does.